[1]
A relaxed structure of Li2ScPd2. Source: Alexandria via LeMat-Bulk, functional PBE.

a b c (Å): 7.176 7.176 2.946
angles (deg): 90.00 90.00 90.00
Positions (direct):
Li 0.112 0.388 0.000
Li 0.388 0.888 0.000
Li 0.612 0.112 0.000
Li 0.888 0.612 0.000
Sc 0.000 0.000 0.000
Sc 0.500 0.500 0.000
Pd 0.187 0.687 0.500
Pd 0.313 0.187 0.500
Pd 0.687 0.813 0.500
Pd 0.813 0.313 0.500

Calculated values
energy above the lowest structure with this stoichiometry = 57 meV/atom
SG = P4/mbm (127)
energy of formation = -2.476 eV/f.u.

***

[2]
A relaxed structure of SmCd3Pd3. Source: Alexandria via LeMat-Bulk, functional PBE.

a b c (Å): 7.266 7.266 7.266
angles (deg): 90.00 90.00 90.00
Positions (direct):
Sm 0.000 0.000 0.000
Sm 0.500 0.500 0.500
Cd 0.000 0.250 0.500
Cd 0.000 0.750 0.500
Cd 0.250 0.500 0.000
Cd 0.500 0.000 0.250
Cd 0.500 0.000 0.750
Cd 0.750 0.500 0.000
Pd 0.000 0.500 0.250
Pd 0.000 0.500 0.750
Pd 0.250 0.000 0.500
Pd 0.500 0.250 0.000
Pd 0.500 0.750 0.000
Pd 0.750 0.000 0.500

Calculated values
energy above the lowest structure with this stoichiometry = 647 meV/atom
SG = Pm-3n (223)
energy of formation = 1.440 eV/f.u.

***

[3]
A relaxed structure of Ac3Cd2Ag4. Source: Alexandria via LeMat-Bulk, functional PBE.

a b c (Å): 6.380 6.380 9.496
angles (deg): 111.63 111.63 45.48
Positions (direct):
Ac 0.000 0.000 0.000
Ac 0.345 0.345 0.320
Ac 0.655 0.655 0.680
Cd 0.367 0.367 0.702
Cd 0.633 0.633 0.298
Ag 0.071 0.071 0.405
Ag 0.278 0.278 0.943
Ag 0.722 0.722 0.057
Ag 0.929 0.929 0.595

Calculated values
SG = C2/m (12)
energy of formation = -2.804 eV/f.u.

***

[4]
A relaxed structure of CrCdMo2. Source: Alexandria via LeMat-Bulk, functional PBE.

a b c (Å): 2.755 2.755 8.697
angles (deg): 90.00 90.00 90.00
Positions (direct):
Cr 0.000 0.000 0.000
Cd 0.500 0.500 0.742
Mo 0.000 0.000 0.472
Mo 0.500 0.500 0.215

Calculated values
SG = P4mm (99)
energy of formation = 1.923 eV/f.u.

***

[5]
A relaxed structure of LaCrPt2. Source: Alexandria via LeMat-Bulk, functional PBE.

a b c (Å): 4.987 4.987 15.750
angles (deg): 90.00 90.00 90.00
Positions (direct):
La 0.000 0.000 0.000
La 0.000 0.500 0.250
La 0.500 0.000 0.750
La 0.500 0.500 0.500
Cr 0.000 0.000 0.500
Cr 0.000 0.500 0.750
Cr 0.500 0.000 0.250
Cr 0.500 0.500 0.000
Pt 0.083 0.250 0.625
Pt 0.250 0.583 0.875
Pt 0.250 0.917 0.375
Pt 0.417 0.250 0.125
Pt 0.583 0.750 0.125
Pt 0.750 0.083 0.375
Pt 0.750 0.417 0.875
Pt 0.917 0.750 0.625

Calculated values
energy above the lowest structure with this stoichiometry = 568 meV/atom
SG = I-42d (122)
energy of formation = -0.367 eV/f.u.

***

[6]
A relaxed structure of GdZrGaOs. Source: Alexandria via LeMat-Bulk, functional PBE.

a b c (Å): 6.841 6.841 6.841
angles (deg): 90.00 90.00 90.00
Positions (direct):
Gd 0.000 0.000 0.000
Gd 0.000 0.500 0.500
Gd 0.500 0.000 0.500
Gd 0.500 0.500 0.000
Zr 0.000 0.000 0.500
Zr 0.000 0.500 0.000
Zr 0.500 0.000 0.000
Zr 0.500 0.500 0.500
Ga 0.250 0.250 0.750
Ga 0.250 0.750 0.250
Ga 0.750 0.250 0.250
Ga 0.750 0.750 0.750
Os 0.250 0.250 0.250
Os 0.250 0.750 0.750
Os 0.750 0.250 0.750
Os 0.750 0.750 0.250

Calculated values
SG = F-43m (216)
energy of formation = -1.195 eV/f.u.

***

[7]
A relaxed structure of Sm6Er2Mg. Source: Alexandria via LeMat-Bulk, functional PBE.

a b c (Å): 11.510 11.510 6.050
angles (deg): 105.22 105.22 48.37
Positions (direct):
Sm 0.004 0.154 0.427
Sm 0.081 0.580 0.080
Sm 0.154 0.004 0.927
Sm 0.345 0.496 0.765
Sm 0.420 0.919 0.420
Sm 0.496 0.345 0.265
Sm 0.504 0.655 0.735
Sm 0.580 0.081 0.580
Sm 0.655 0.504 0.235
Sm 0.846 0.996 0.073
Sm 0.919 0.420 0.920
Sm 0.996 0.846 0.573
Er 0.170 0.330 0.450
Er 0.330 0.170 0.950
Er 0.670 0.830 0.050
Er 0.830 0.670 0.550
Mg 0.251 0.749 0.250
Mg 0.749 0.251 0.750

Calculated values
energy above the lowest structure with this stoichiometry = 46 meV/atom
SG = C2/c (15)
energy of formation = 0.625 eV/f.u.